#A
A plane-wave DFT calculation with PBE was carried out for a relaxed Li5AlO4 crystal.

Results
Density in kg/m³: 2409

Cell and atoms, written as CIF:
```
data_Li5AlO4
_chemical_formula_sum 'Li10 Al2 O8'
_cell_length_a 2.948
_cell_length_b 5.422
_cell_length_c 10.840
_cell_angle_alpha 90.00
_cell_angle_beta 90.00
_cell_angle_gamma 90.00
_symmetry_space_group_name_H-M 'I m m m'
_symmetry_Int_Tables_number 71
_symmetry_space_group_name_Hall '-I 2 2'
loop_
_atom_site_label
_atom_site_fract_x
_atom_site_fract_y
_atom_site_fract_z
_atom_site_occupancy
Li1 0.000 0.000 0.000 1
Li2 0.000 0.226 0.326 1
Al1 0.000 0.500 0.000 1
O1 0.000 0.239 0.500 1
O2 0.000 0.500 0.191 1
```

#B
A plane-wave DFT calculation with PBE was carried out for a relaxed Li5AlO4 crystal.

Results
Density in kg/m³: 2185

Cell and atoms, written as CIF:
```
data_Li5AlO4
_chemical_formula_sum 'Li40 Al8 O32'
_cell_length_a 9.047
_cell_length_b 9.213
_cell_length_c 9.166
_cell_angle_alpha 90.00
_cell_angle_beta 90.00
_cell_angle_gamma 90.00
_symmetry_space_group_name_H-M 'P b c a'
_symmetry_Int_Tables_number 61
_symmetry_space_group_name_Hall '-P 2ac 2ab'
loop_
_atom_site_label
_atom_site_fract_x
_atom_site_fract_y
_atom_site_fract_z
_atom_site_occupancy
Li1 0.098 0.145 0.127 1
Li2 0.103 0.659 0.881 1
Li3 0.132 0.621 0.147 1
Li4 0.139 0.102 0.385 1
Li5 0.167 0.619 0.606 1
Al1 0.116 0.123 0.856 1
O1 0.001 0.242 0.962 1
O2 0.005 0.511 0.747 1
O3 0.231 0.242 0.752 1
O4 0.238 0.039 0.985 1
```

#C
A plane-wave DFT calculation with PBE was carried out for a relaxed Li5AlO4 crystal.

Results
Density in kg/m³: 2287

Cell and atoms, written as CIF:
```
data_Li5AlO4
_chemical_formula_sum 'Li10 Al2 O8'
_cell_length_a 2.981
_cell_length_b 6.297
_cell_length_c 9.723
_cell_angle_alpha 90.00
_cell_angle_beta 90.00
_cell_angle_gamma 90.00
_symmetry_space_group_name_H-M 'I m m m'
_symmetry_Int_Tables_number 71
_symmetry_space_group_name_Hall '-I 2 2'
loop_
_atom_site_label
_atom_site_fract_x
_atom_site_fract_y
_atom_site_fract_z
_atom_site_occupancy
Li1 0.000 0.000 0.000 1
Li2 0.000 0.268 0.162 1
Al1 0.000 0.000 0.500 1
O1 0.000 0.000 0.304 1
O2 0.000 0.282 0.500 1
```

The relative energies come out as #A 0.111; #B 0.000; #C 0.386, with values in eV/atom.

#A
A plane-wave DFT calculation with PBE was carried out for a relaxed LiAlPO2 crystal.

Results
Density in kg/m³: 2690

Cell and atoms, written as CIF:
```
data_LiAlPO2
_chemical_formula_sum 'Li1 Al1 P1 O2'
_cell_length_a 3.611
_cell_length_b 3.611
_cell_length_c 4.587
_cell_angle_alpha 90.00
_cell_angle_beta 90.00
_cell_angle_gamma 90.00
_symmetry_space_group_name_H-M 'P 4/m m m'
_symmetry_Int_Tables_number 123
_symmetry_space_group_name_Hall '-P 4 2'
loop_
_atom_site_label
_atom_site_fract_x
_atom_site_fract_y
_atom_site_fract_z
_atom_site_occupancy
Li1 0.000 0.000 0.000 1
Al1 0.500 0.500 0.500 1
P1 0.000 0.000 0.500 1
O1 0.000 0.500 0.000 1
```

#B
A plane-wave DFT calculation with PBE was carried out for a relaxed LiAlPO2 crystal.

Results
Density in kg/m³: 2288

Cell and atoms, written as CIF:
```
data_LiAlPO2
_chemical_formula_sum 'Li1 Al1 P1 O2'
_cell_length_a 3.585
_cell_length_b 3.585
_cell_length_c 5.471
_cell_angle_alpha 90.00
_cell_angle_beta 90.00
_cell_angle_gamma 90.00
_symmetry_space_group_name_H-M 'P 4/m m m'
_symmetry_Int_Tables_number 123
_symmetry_space_group_name_Hall '-P 4 2'
loop_
_atom_site_label
_atom_site_fract_x
_atom_site_fract_y
_atom_site_fract_z
_atom_site_occupancy
Li1 0.000 0.000 0.000 1
Al1 0.500 0.500 0.500 1
P1 0.500 0.500 0.000 1
O1 0.000 0.500 0.500 1
```

The relative energies come out as #A 0.928; #B 0.000, with values in eV/atom.

#A
A plane-wave DFT calculation with PBE was carried out for a relaxed LiAlP2O crystal.

Results
Density in kg/m³: 2639

Cell and atoms, written as CIF:
```
data_LiAlP2O
_chemical_formula_sum 'Li1 Al1 P2 O1'
_cell_length_a 4.640
_cell_length_b 4.640
_cell_length_c 3.269
_cell_angle_alpha 90.00
_cell_angle_beta 90.00
_cell_angle_gamma 90.00
_symmetry_space_group_name_H-M 'P 4/m m m'
_symmetry_Int_Tables_number 123
_symmetry_space_group_name_Hall '-P 4 2'
loop_
_atom_site_label
_atom_site_fract_x
_atom_site_fract_y
_atom_site_fract_z
_atom_site_occupancy
Li1 0.000 0.000 0.000 1
Al1 0.500 0.500 0.500 1
P1 0.000 0.500 0.000 1
O1 0.000 0.000 0.500 1
```

#B
A plane-wave DFT calculation with PBE was carried out for a relaxed LiAlP2O crystal.

Results
Density in kg/m³: 2168

Cell and atoms, written as CIF:
```
data_LiAlP2O
_chemical_formula_sum 'Li1 Al1 P2 O1'
_cell_length_a 5.060
_cell_length_b 5.060
_cell_length_c 3.347
_cell_angle_alpha 90.00
_cell_angle_beta 90.00
_cell_angle_gamma 90.00
_symmetry_space_group_name_H-M 'P 4/m m m'
_symmetry_Int_Tables_number 123
_symmetry_space_group_name_Hall '-P 4 2'
loop_
_atom_site_label
_atom_site_fract_x
_atom_site_fract_y
_atom_site_fract_z
_atom_site_occupancy
Li1 0.000 0.000 0.000 1
Al1 0.500 0.500 0.500 1
P1 0.000 0.500 0.500 1
O1 0.500 0.500 0.000 1
```

The relative energies come out as #A 0.667; #B 0.000, with values in eV/atom.

#A
A plane-wave DFT calculation with PBE was carried out for a relaxed LiAlSi2O6 crystal.

Results
Density in kg/m³: 2308

Cell and atoms, written as CIF:
```
data_LiAlSi2O6
_chemical_formula_sum 'Li2 Al2 Si4 O12'
_cell_length_a 5.298
_cell_length_b 9.153
_cell_length_c 5.522
_cell_angle_alpha 90.00
_cell_angle_beta 90.00
_cell_angle_gamma 90.00
_symmetry_space_group_name_H-M 'C 2 2 2'
_symmetry_Int_Tables_number 21
_symmetry_space_group_name_Hall 'C 2 2'
loop_
_atom_site_label
_atom_site_fract_x
_atom_site_fract_y
_atom_site_fract_z
_atom_site_occupancy
Li1 0.000 0.000 0.000 1
Al1 0.000 0.500 0.000 1
Si1 0.250 0.250 0.332 1
O1 0.000 0.228 0.500 1
O2 0.220 0.395 0.164 1
```

#B
A plane-wave DFT calculation with PBE was carried out for a relaxed LiAlSi2O6 crystal.

Results
Density in kg/m³: 3070

Cell and atoms, written as CIF:
```
data_LiAlSi2O6
_chemical_formula_sum 'Li4 Al4 Si8 O24'
_cell_length_a 9.635
_cell_length_b 8.470
_cell_length_c 5.272
_cell_angle_alpha 90.00
_cell_angle_beta 110.63
_cell_angle_gamma 90.00
_symmetry_space_group_name_H-M 'C 1 2/c 1'
_symmetry_Int_Tables_number 15
_symmetry_space_group_name_Hall '-C 2yc'
loop_
_atom_site_label
_atom_site_fract_x
_atom_site_fract_y
_atom_site_fract_z
_atom_site_occupancy
Li1 0.000 0.226 0.250 1
Al1 0.000 0.406 0.750 1
Si1 0.207 0.094 0.742 1
O1 0.109 0.417 0.141 1
O2 0.134 0.266 0.702 1
O3 0.145 0.019 0.434 1
```

The relative energies come out as #A 0.000; #B 0.033, with values in eV/atom.

#A
A plane-wave DFT calculation with PBE was carried out for a relaxed LiAl4Tl4O12 crystal.

Results
Density in kg/m³: 8076

Cell and atoms, written as CIF:
```
data_LiAl4Tl4O12
_chemical_formula_sum 'Li1 Al4 Tl4 O12'
_cell_length_a 5.599
_cell_length_b 7.432
_cell_length_c 5.600
_cell_angle_alpha 90.00
_cell_angle_beta 97.13
_cell_angle_gamma 90.00
_symmetry_space_group_name_H-M 'P 1 m 1'
_symmetry_Int_Tables_number 6
_symmetry_space_group_name_Hall 'P -2y'
loop_
_atom_site_label
_atom_site_fract_x
_atom_site_fract_y
_atom_site_fract_z
_atom_site_occupancy
Li1 0.000 0.000 0.000 1
Al1 0.287 0.253 0.237 1
Al2 0.738 0.256 0.823 1
Tl1 0.217 0.500 0.736 1
Tl2 0.312 0.000 0.723 1
Tl3 0.765 0.500 0.301 1
Tl4 0.771 0.000 0.370 1
O1 0.010 0.194 0.653 1
O2 0.246 0.500 0.341 1
O3 0.297 0.000 0.194 1
O4 0.451 0.308 0.978 1
O5 0.528 0.224 0.506 1
O6 0.682 0.000 0.873 1
O7 0.811 0.500 0.776 1
O8 0.948 0.239 0.132 1
```

#B
A plane-wave DFT calculation with PBE was carried out for a relaxed LiAl4Tl4O12 crystal.

Results
Density in kg/m³: 6612

Cell and atoms, written as CIF:
```
data_LiAl4Tl4O12
_chemical_formula_sum 'Li1 Al4 Tl4 O12'
_cell_length_a 5.514
_cell_length_b 6.163
_cell_length_c 8.425
_cell_angle_alpha 84.33
_cell_angle_beta 82.40
_cell_angle_gamma 89.13
_symmetry_space_group_name_H-M 'P 1'
_symmetry_Int_Tables_number 1
_symmetry_space_group_name_Hall 'P 1'
loop_
_atom_site_label
_atom_site_fract_x
_atom_site_fract_y
_atom_site_fract_z
_atom_site_occupancy
Li1 0.000 0.000 0.000 1
Al1 0.391 0.329 0.880 1
Al2 0.426 0.519 0.470 1
Al3 0.889 0.578 0.870 1
Al4 0.926 0.785 0.448 1
Tl1 0.020 0.346 0.224 1
Tl2 0.463 0.837 0.757 1
Tl3 0.522 0.942 0.205 1
Tl4 0.949 0.253 0.632 1
O1 0.168 0.541 0.957 1
O2 0.225 0.115 0.792 1
O3 0.258 0.753 0.393 1
O4 0.267 0.292 0.421 1
O5 0.301 0.150 0.072 1
O6 0.445 0.502 0.680 1
O7 0.719 0.327 0.901 1
O8 0.720 0.800 0.948 1
O9 0.737 0.573 0.379 1
O10 0.749 0.989 0.562 1
O11 0.887 0.977 0.252 1
O12 0.955 0.616 0.653 1
```

The relative energies come out as #A 0.047; #B 0.000, with values in eV/atom.

#A
A plane-wave DFT calculation with PBE was carried out for a relaxed LiAl4Tl4O12 crystal.

Results
Density in kg/m³: 7616

Cell and atoms, written as CIF:
```
data_LiAl4Tl4O12
_chemical_formula_sum 'Li1 Al4 Tl4 O12'
_cell_length_a 5.275
_cell_length_b 5.480
_cell_length_c 8.568
_cell_angle_alpha 82.65
_cell_angle_beta 88.03
_cell_angle_gamma 86.56
_symmetry_space_group_name_H-M 'P 1'
_symmetry_Int_Tables_number 1
_symmetry_space_group_name_Hall 'P 1'
loop_
_atom_site_label
_atom_site_fract_x
_atom_site_fract_y
_atom_site_fract_z
_atom_site_occupancy
Li1 0.000 0.000 0.000 1
Al1 0.039 0.251 0.595 1
Al2 0.076 0.352 0.167 1
Al3 0.504 0.812 0.126 1
Al4 0.525 0.773 0.561 1
Tl1 0.016 0.787 0.355 1
Tl2 0.025 0.674 0.806 1
Tl3 0.515 0.206 0.824 1
Tl4 0.568 0.283 0.354 1
O1 0.157 0.324 0.378 1
O2 0.223 0.642 0.092 1
O3 0.281 0.982 0.646 1
O4 0.325 0.139 0.077 1
O5 0.347 0.490 0.646 1
O6 0.433 0.825 0.352 1
O7 0.663 0.845 0.929 1
O8 0.762 0.561 0.194 1
O9 0.772 0.044 0.545 1
O10 0.821 0.563 0.550 1
O11 0.853 0.092 0.190 1
O12 0.944 0.259 0.809 1
```

#B
A plane-wave DFT calculation with PBE was carried out for a relaxed LiAl4Tl4O12 crystal.

Results
Density in kg/m³: 7811

Cell and atoms, written as CIF:
```
data_LiAl4Tl4O12
_chemical_formula_sum 'Li1 Al4 Tl4 O12'
_cell_length_a 5.192
_cell_length_b 5.422
_cell_length_c 8.535
_cell_angle_alpha 84.25
_cell_angle_beta 89.98
_cell_angle_gamma 89.07
_symmetry_space_group_name_H-M 'P 1'
_symmetry_Int_Tables_number 1
_symmetry_space_group_name_Hall 'P 1'
loop_
_atom_site_label
_atom_site_fract_x
_atom_site_fract_y
_atom_site_fract_z
_atom_site_occupancy
Li1 0.000 0.000 0.000 1
Al1 0.500 0.147 0.900 1
Al2 0.508 0.184 0.449 1
Al3 0.978 0.697 0.450 1
Al4 0.981 0.607 0.893 1
Tl1 0.000 0.268 0.221 1
Tl2 0.012 0.190 0.663 1
Tl3 0.478 0.702 0.684 1
Tl4 0.498 0.718 0.172 1
O1 0.078 0.647 0.108 1
O2 0.200 0.918 0.833 1
O3 0.209 0.403 0.447 1
O4 0.269 0.903 0.470 1
O5 0.276 0.417 0.833 1
O6 0.361 0.119 0.111 1
O7 0.591 0.150 0.659 1
O8 0.690 0.831 0.926 1
O9 0.708 0.471 0.374 1
O10 0.772 0.972 0.371 1
O11 0.801 0.313 0.942 1
O12 0.892 0.635 0.659 1
```

The relative energies come out as #A 0.000; #B 0.011, with values in eV/atom.